Record 1
SnGePd2: optimized geometry, GGA-PBE. Values from VASP.

Structure (Quantum ESPRESSO input):
```
&SYSTEM
  ibrav = 0, nat = 4, ntyp = 3
/
ATOMIC_SPECIES
Ge 72.64 Ge.upf
Sn 118.71 Sn.upf
Pd 106.42 Pd.upf
ATOMIC_POSITIONS crystal
Ge 0.500 0.500 0.000
Sn 0.500 0.500 0.500
Pd 0.000 0.000 0.783
Pd 0.000 0.000 0.217
CELL_PARAMETERS angstrom
-0.248 -0.425 3.205
2.029 -2.524 -0.178
5.206 4.118 0.949
```

Record 2
Sn2GePd3: optimized geometry, GGA-PBE. Values from VASP.

Structure (Quantum ESPRESSO input):
```
&SYSTEM
  ibrav = 0, nat = 12, ntyp = 3
/
ATOMIC_SPECIES
Sn 118.71 Sn.upf
Ge 72.64 Ge.upf
Pd 106.42 Pd.upf
ATOMIC_POSITIONS crystal
Sn 0.250 0.768 0.535
Sn 0.750 0.232 0.465
Sn 0.750 0.013 0.797
Sn 0.250 0.987 0.203
Ge 0.250 0.541 0.883
Ge 0.750 0.459 0.117
Pd 0.750 0.585 0.695
Pd 0.250 0.415 0.305
Pd 0.750 0.774 0.321
Pd 0.250 0.226 0.679
Pd 0.250 0.203 0.997
Pd 0.750 0.797 0.003
CELL_PARAMETERS angstrom
3.637 0.000 0.000
0.000 6.312 -1.376
0.000 0.029 9.863
```

Output
energy above the lowest structure with this stoichiometry = 0.000 eV per atom

Record 3
Sn2GePd3: optimized geometry, GGA-PBE. Values from VASP.

Structure (Quantum ESPRESSO input):
```
&SYSTEM
  ibrav = 0, nat = 12, ntyp = 3
/
ATOMIC_SPECIES
Sn 118.71 Sn.upf
Ge 72.64 Ge.upf
Pd 106.42 Pd.upf
ATOMIC_POSITIONS crystal
Sn 0.680 0.593 0.365
Sn 0.685 0.093 0.365
Sn 0.315 0.907 0.635
Sn 0.320 0.407 0.635
Ge 0.797 0.750 0.000
Ge 0.203 0.250 0.000
Pd 0.669 0.250 0.000
Pd 0.331 0.750 0.000
Pd 0.128 0.062 0.254
Pd 0.875 0.438 0.746
Pd 0.125 0.562 0.254
Pd 0.872 0.938 0.746
CELL_PARAMETERS angstrom
5.500 0.000 0.000
0.000 7.103 0.017
-2.750 -1.766 5.777
```

Output
energy above the lowest structure with this stoichiometry = 0.078 eV per atom

Record 4
Sn2GePd8: optimized geometry, GGA-PBE. Values from VASP.

Structure (Quantum ESPRESSO input):
```
&SYSTEM
  ibrav = 0, nat = 11, ntyp = 3
/
ATOMIC_SPECIES
Ge 72.64 Ge.upf
Sn 118.71 Sn.upf
Pd 106.42 Pd.upf
ATOMIC_POSITIONS crystal
Ge 0.500 0.000 0.000
Sn 0.188 0.688 0.376
Sn 0.812 0.312 0.624
Pd 0.658 0.892 0.316
Pd 0.342 0.576 0.684
Pd 0.134 0.134 0.269
Pd 0.000 0.306 0.000
Pd 0.866 0.866 0.731
Pd 0.658 0.424 0.316
Pd 0.342 0.108 0.684
Pd 0.000 0.694 0.000
CELL_PARAMETERS angstrom
3.989 0.000 -1.214
-1.119 6.474 -3.677
0.035 -0.239 7.277
```

Output
energy above the lowest structure with this stoichiometry = 0.023 eV per atom

Record 5
SnGe2Pd7: optimized geometry, GGA-PBE. Values from VASP.

Structure (Quantum ESPRESSO input):
```
&SYSTEM
  ibrav = 0, nat = 10, ntyp = 3
/
ATOMIC_SPECIES
Sn 118.71 Sn.upf
Ge 72.64 Ge.upf
Pd 106.42 Pd.upf
ATOMIC_POSITIONS crystal
Sn 0.000 0.000 0.000
Ge 0.674 0.674 0.347
Ge 0.326 0.326 0.653
Pd 0.101 0.601 0.201
Pd 0.399 0.899 0.799
Pd 0.601 0.101 0.201
Pd 0.500 0.500 0.000
Pd 0.750 0.250 0.500
Pd 0.899 0.399 0.799
Pd 0.250 0.750 0.500
CELL_PARAMETERS angstrom
3.992 0.000 -0.768
-0.148 3.990 -0.768
-0.055 -0.057 10.472
```

Output
energy above the lowest structure with this stoichiometry = 0.000 eV per atom

Record 6
SnGePd5: optimized geometry, GGA-PBE. Values from VASP.

Structure (Quantum ESPRESSO input):
```
&SYSTEM
  ibrav = 0, nat = 14, ntyp = 3
/
ATOMIC_SPECIES
Sn 118.71 Sn.upf
Ge 72.64 Ge.upf
Pd 106.42 Pd.upf
ATOMIC_POSITIONS crystal
Sn 0.510 0.490 0.250
Sn 0.490 0.510 0.750
Ge 0.000 0.000 0.000
Ge 0.000 0.000 0.500
Pd 0.610 0.981 0.061
Pd 0.226 0.567 0.667
Pd 0.981 0.610 0.561
Pd 0.866 0.134 0.250
Pd 0.433 0.774 0.833
Pd 0.567 0.226 0.167
Pd 0.134 0.866 0.750
Pd 0.019 0.390 0.439
Pd 0.774 0.433 0.333
Pd 0.390 0.019 0.939
CELL_PARAMETERS angstrom
9.268 2.098 0.883
4.930 8.124 0.883
6.624 4.769 4.395
```

Record 7
SnGePd2: optimized geometry, GGA-PBE. Values from VASP.

Structure (Quantum ESPRESSO input):
```
&SYSTEM
  ibrav = 0, nat = 8, ntyp = 3
/
ATOMIC_SPECIES
Ge 72.64 Ge.upf
Sn 118.71 Sn.upf
Pd 106.42 Pd.upf
ATOMIC_POSITIONS crystal
Ge 0.500 0.500 0.000
Ge 0.250 0.750 0.500
Sn 0.000 0.000 0.000
Sn 0.750 0.250 0.500
Pd 0.602 0.125 0.250
Pd 0.148 0.625 0.250
Pd 0.375 0.398 0.750
Pd 0.875 0.852 0.750
CELL_PARAMETERS angstrom
-3.500 0.696 2.308
1.456 -2.633 3.001
2.868 5.638 6.563
```

Record 8
Sn2GePd4: optimized geometry, GGA-PBE. Values from VASP.

Structure (Quantum ESPRESSO input):
```
&SYSTEM
  ibrav = 0, nat = 14, ntyp = 3
/
ATOMIC_SPECIES
Sn 118.71 Sn.upf
Ge 72.64 Ge.upf
Pd 106.42 Pd.upf
ATOMIC_POSITIONS crystal
Sn 0.505 0.295 0.706
Sn 0.661 0.951 0.206
Sn 0.705 0.495 0.294
Sn 0.049 0.339 0.794
Ge 0.209 0.791 0.500
Ge 0.959 0.040 0.000
Pd 0.058 0.300 0.413
Pd 0.286 0.462 0.241
Pd 0.029 0.705 0.741
Pd 0.699 0.941 0.586
Pd 0.295 0.972 0.259
Pd 0.363 0.106 0.914
Pd 0.537 0.714 0.759
Pd 0.895 0.637 0.086
CELL_PARAMETERS angstrom
6.700 0.026 -0.039
-0.462 6.686 0.039
-3.084 -3.387 5.836
```

Output
energy above the lowest structure with this stoichiometry = 0.000 eV per atom

Record 9
SnGe3Pd: optimized geometry, GGA-PBE. Values from VASP.

Structure (Quantum ESPRESSO input):
```
&SYSTEM
  ibrav = 0, nat = 5, ntyp = 3
/
ATOMIC_SPECIES
Ge 72.64 Ge.upf
Sn 118.71 Sn.upf
Pd 106.42 Pd.upf
ATOMIC_POSITIONS crystal
Ge 0.000 0.500 0.000
Ge 0.000 0.000 0.500
Ge 0.500 0.000 0.000
Sn 0.500 0.500 0.500
Pd 0.000 0.000 0.000
CELL_PARAMETERS angstrom
4.903 0.000 0.000
0.000 4.903 0.000
0.000 0.000 4.903
```

Output
energy above the lowest structure with this stoichiometry = 0.000 eV per atom

Record 10
SnGe2Pd2: optimized geometry, GGA-PBE. Values from VASP.

Structure (Quantum ESPRESSO input):
```
&SYSTEM
  ibrav = 0, nat = 10, ntyp = 3
/
ATOMIC_SPECIES
Ge 72.64 Ge.upf
Sn 118.71 Sn.upf
Pd 106.42 Pd.upf
ATOMIC_POSITIONS crystal
Ge 0.369 0.869 0.000
Ge 0.869 0.631 0.000
Ge 0.631 0.131 0.000
Ge 0.131 0.369 0.000
Sn 0.000 0.000 0.000
Sn 0.500 0.500 0.000
Pd 0.159 0.659 0.500
Pd 0.659 0.841 0.500
Pd 0.841 0.341 0.500
Pd 0.341 0.159 0.500
CELL_PARAMETERS angstrom
7.913 0.000 0.000
0.000 7.913 0.000
0.000 0.000 2.931
```

Record 11
SnGePd2: optimized geometry, GGA-PBE. Values from VASP.

Structure (Quantum ESPRESSO input):
```
&SYSTEM
  ibrav = 0, nat = 4, ntyp = 3
/
ATOMIC_SPECIES
Sn 118.71 Sn.upf
Ge 72.64 Ge.upf
Pd 106.42 Pd.upf
ATOMIC_POSITIONS crystal
Sn 0.492 0.492 0.524
Ge 0.677 0.677 0.968
Pd 0.065 0.065 0.806
Pd 0.266 0.266 0.202
CELL_PARAMETERS angstrom
4.160 0.000 0.000
2.080 3.603 0.000
2.080 1.201 5.041
```

Record 12
Sn2GePd8: optimized geometry, GGA-PBE. Values from VASP.

Structure (Quantum ESPRESSO input):
```
&SYSTEM
  ibrav = 0, nat = 11, ntyp = 3
/
ATOMIC_SPECIES
Sn 118.71 Sn.upf
Ge 72.64 Ge.upf
Pd 106.42 Pd.upf
ATOMIC_POSITIONS crystal
Sn 0.820 0.319 0.640
Sn 0.180 0.681 0.360
Ge 0.500 0.000 0.000
Pd 0.368 0.597 0.737
Pd 0.645 0.901 0.291
Pd 0.816 0.799 0.633
Pd 0.995 0.243 0.991
Pd 0.184 0.201 0.367
Pd 0.355 0.099 0.709
Pd 0.632 0.403 0.263
Pd 0.005 0.757 0.009
CELL_PARAMETERS angstrom
-1.705 -4.071 -1.136
2.226 0.561 -5.350
5.620 -1.268 5.249
```

Output
energy above the lowest structure with this stoichiometry = 0.000 eV per atom

Record 13
SnGePd2: optimized geometry, GGA-PBE. Values from VASP.

Structure (Quantum ESPRESSO input):
```
&SYSTEM
  ibrav = 0, nat = 16, ntyp = 3
/
ATOMIC_SPECIES
Sn 118.71 Sn.upf
Ge 72.64 Ge.upf
Pd 106.42 Pd.upf
ATOMIC_POSITIONS crystal
Sn 0.196 0.406 0.122
Sn 0.304 0.906 0.878
Sn 0.696 0.094 0.122
Sn 0.804 0.594 0.878
Ge 0.687 0.065 0.619
Ge 0.187 0.435 0.619
Ge 0.313 0.935 0.381
Ge 0.813 0.565 0.381
Pd 0.509 0.697 0.155
Pd 0.009 0.803 0.155
Pd 0.996 0.191 0.396
Pd 0.991 0.197 0.845
Pd 0.004 0.809 0.604
Pd 0.504 0.691 0.604
Pd 0.491 0.303 0.845
Pd 0.496 0.309 0.396
CELL_PARAMETERS angstrom
6.024 0.000 0.009
0.000 6.536 0.000
0.006 0.000 7.395
```

Record 14
Sn3Ge2Pd7: optimized geometry, GGA-PBE. Values from VASP.

Structure (Quantum ESPRESSO input):
```
&SYSTEM
  ibrav = 0, nat = 12, ntyp = 3
/
ATOMIC_SPECIES
Sn 118.71 Sn.upf
Ge 72.64 Ge.upf
Pd 106.42 Pd.upf
ATOMIC_POSITIONS crystal
Sn 0.500 0.500 0.000
Sn 0.500 0.665 0.329
Sn 0.500 0.335 0.671
Ge 0.000 0.854 0.707
Ge 0.000 0.146 0.293
Pd 0.000 0.424 0.848
Pd 0.000 0.719 0.438
Pd 0.000 0.000 0.000
Pd 0.000 0.576 0.152
Pd 0.500 0.082 0.164
Pd 0.500 0.918 0.836
Pd 0.000 0.281 0.562
CELL_PARAMETERS angstrom
-4.200 2.091 -0.676
-0.790 -0.090 4.626
4.678 8.941 -1.408
```

Record 15
SnGe6Pd12: optimized geometry, GGA-PBE. Values from VASP.

Structure (Quantum ESPRESSO input):
```
&SYSTEM
  ibrav = 0, nat = 19, ntyp = 3
/
ATOMIC_SPECIES
Sn 118.71 Sn.upf
Ge 72.64 Ge.upf
Pd 106.42 Pd.upf
ATOMIC_POSITIONS crystal
Sn 0.000 0.000 0.000
Ge 0.696 0.263 0.263
Ge 0.263 0.263 0.696
Ge 0.263 0.696 0.263
Ge 0.737 0.737 0.304
Ge 0.304 0.737 0.737
Ge 0.737 0.304 0.737
Pd 0.875 0.125 0.500
Pd 0.838 0.591 0.591
Pd 0.591 0.591 0.838
Pd 0.409 0.162 0.409
Pd 0.409 0.409 0.162
Pd 0.162 0.409 0.409
Pd 0.125 0.500 0.875
Pd 0.500 0.875 0.125
Pd 0.125 0.875 0.500
Pd 0.875 0.500 0.125
Pd 0.500 0.125 0.875
Pd 0.591 0.838 0.591
CELL_PARAMETERS angstrom
-0.026 -4.326 -5.912
5.104 -2.609 4.561
-6.481 -0.832 3.311
```

Record 16
Sn2Ge2Pd5: optimized geometry, GGA-PBE. Values from VASP.

Structure (Quantum ESPRESSO input):
```
&SYSTEM
  ibrav = 0, nat = 9, ntyp = 3
/
ATOMIC_SPECIES
Sn 118.71 Sn.upf
Ge 72.64 Ge.upf
Pd 106.42 Pd.upf
ATOMIC_POSITIONS crystal
Sn 0.358 0.717 0.637
Sn 0.642 0.283 0.363
Ge 0.141 0.282 0.871
Ge 0.859 0.718 0.129
Pd 0.369 0.737 0.004
Pd 0.631 0.263 0.996
Pd 0.106 0.211 0.499
Pd 0.894 0.789 0.501
Pd 0.000 0.000 0.000
CELL_PARAMETERS angstrom
4.619 0.000 0.000
-2.310 6.537 -2.068
0.000 -3.253 6.831
```

Record 17
SnGePd2: optimized geometry, GGA-PBE. Values from VASP.

Structure (Quantum ESPRESSO input):
```
&SYSTEM
  ibrav = 0, nat = 4, ntyp = 3
/
ATOMIC_SPECIES
Ge 72.64 Ge.upf
Sn 118.71 Sn.upf
Pd 106.42 Pd.upf
ATOMIC_POSITIONS crystal
Ge 0.500 0.000 0.000
Sn 0.500 0.500 0.500
Pd 0.000 0.000 0.500
Pd 0.000 0.500 0.000
CELL_PARAMETERS angstrom
-0.446 -3.258 0.150
1.947 -0.459 -4.161
4.139 -0.476 1.989
```

Record 18
Sn2GePd4: optimized geometry, GGA-PBE. Values from VASP.

Structure (Quantum ESPRESSO input):
```
&SYSTEM
  ibrav = 0, nat = 7, ntyp = 3
/
ATOMIC_SPECIES
Ge 72.64 Ge.upf
Sn 118.71 Sn.upf
Pd 106.42 Pd.upf
ATOMIC_POSITIONS crystal
Ge 0.000 0.000 0.000
Sn 0.368 0.368 0.264
Sn 0.632 0.632 0.736
Pd 0.176 0.176 0.649
Pd 0.824 0.824 0.351
Pd 0.000 0.500 0.000
Pd 0.500 0.000 0.000
CELL_PARAMETERS angstrom
-1.715 -0.780 -4.266
-4.232 -0.700 1.830
-4.358 5.906 -1.877
```

Output
energy above the lowest structure with this stoichiometry = 0.337 eV per atom

Record 19
Sn2Ge2Pd: optimized geometry, GGA-PBE. Values from VASP.

Structure (Quantum ESPRESSO input):
```
&SYSTEM
  ibrav = 0, nat = 10, ntyp = 3
/
ATOMIC_SPECIES
Ge 72.64 Ge.upf
Sn 118.71 Sn.upf
Pd 106.42 Pd.upf
ATOMIC_POSITIONS crystal
Ge 0.361 0.861 0.000
Ge 0.861 0.639 0.000
Ge 0.639 0.139 0.000
Ge 0.139 0.361 0.000
Sn 0.174 0.674 0.500
Sn 0.674 0.826 0.500
Sn 0.826 0.326 0.500
Sn 0.326 0.174 0.500
Pd 0.000 0.000 0.000
Pd 0.500 0.500 0.000
CELL_PARAMETERS angstrom
-6.455 -0.906 0.850
-0.244 -3.486 -5.568
0.941 -4.247 2.617
```

Output
energy above the lowest structure with this stoichiometry = 0.000 eV per atom

Record 20
Sn3GePd6: optimized geometry, GGA-PBE. Values from VASP.

Structure (Quantum ESPRESSO input):
```
&SYSTEM
  ibrav = 0, nat = 20, ntyp = 3
/
ATOMIC_SPECIES
Sn 118.71 Sn.upf
Ge 72.64 Ge.upf
Pd 106.42 Pd.upf
ATOMIC_POSITIONS crystal
Sn 0.529 0.907 0.710
Sn 0.029 0.710 0.907
Sn 0.328 0.410 0.590
Sn 0.828 0.590 0.410
Sn 0.029 0.093 0.290
Sn 0.529 0.290 0.093
Ge 0.965 0.195 0.805
Ge 0.465 0.805 0.195
Pd 0.171 0.727 0.605
Pd 0.671 0.605 0.727
Pd 0.241 0.426 0.930
Pd 0.741 0.930 0.426
Pd 0.192 0.048 0.952
Pd 0.618 0.253 0.747
Pd 0.118 0.747 0.253
Pd 0.692 0.952 0.048
Pd 0.241 0.070 0.574
Pd 0.741 0.574 0.070
Pd 0.171 0.395 0.273
Pd 0.671 0.273 0.395
CELL_PARAMETERS angstrom
6.618 0.000 0.000
0.000 7.954 -0.870
0.000 -2.623 7.560
```

no.,total energy (eV/atom)
1,-5.0629
2,-5.1507
3,-5.0724
4,-5.3567
5,-5.4529
6,-5.3377
7,-4.9794
8,-5.1764
9,-4.3454
10,-4.8645
11,-5.0767
12,-5.3798
13,-5.2437
14,-5.1230
15,-5.3389
16,-5.1380
17,-5.0513
18,-4.8392
19,-4.5112
20,-5.1692